This record from Alexandria via LeMat-Bulk describes a crystal of AgSbCl2 relaxed with PBEsol. The functional is meta-GGA SCAN.

a = 3.446 Å, b = 3.439 Å, c = 8.128 Å
α = 102.21°, β = 90.00°, γ = 90.00°
Atoms (fractional coordinates):
Cl1 0.000 0.101 0.203
Cl2 0.500 0.420 0.839
Sb1 0.000 0.291 0.582
Ag1 0.500 0.683 0.366

Output
- ΔE to the lowest computed polymorph (meV per atom) = 0
- energy relative to the elements, uncorrected (eV per atom) = -0.3363
- N(E_F) (states/eV per atom) = 0.242
- total energy (Ha/atom) = -0.7895